Record 1
Below is a geometry-optimized PtCl3 structure, with properties calculated at the PBE level.

Computed properties:
Formation energy (no corrections) = 0.874 eV per atom
Space-group type = Pm-3n, No. 223

a b c (Å): 5.405 5.405 5.405
angles (deg): 90.00 90.00 90.00
Site moments in Bohr magnetons follow the coordinates.
Positions (direct):
Cl: 0.750 0.500 0.000  0.21
Pt: 0.500 0.500 0.500  1.08
Cl: 0.000 0.250 0.500  0.21
Pt: 0.000 0.000 0.000  1.08
Cl: 0.000 0.750 0.500  0.21
Cl: 0.250 0.500 0.000  0.21
Cl: 0.500 0.000 0.250  0.21
Cl: 0.500 0.000 0.750  0.21

---

Record 2
Below is a geometry-optimized MgIn2Ni structure, with properties calculated at the PBE level.

Computed properties:
Space-group type = R3m, No. 160

a b c (Å): 3.286 3.286 8.954
angles (deg): 79.42 79.42 60.00
Positions (direct):
Mg: 0.500 0.500 0.499
Ni: 0.666 0.666 0.001
In: 0.262 0.262 0.214
In: 0.071 0.071 0.787

---

Record 3
Below is a geometry-optimized La4MoAs structure, with properties calculated at the PBE level.

Computed properties:
Space-group type = F-43m, No. 216

a b c (Å): 6.250 6.250 6.250
angles (deg): 60.00 60.00 60.00
Site moments in Bohr magnetons follow the coordinates.
Positions (direct):
Mo: 0.750 0.750 0.750  1.76
La: 0.376 0.872 0.376  -0.19
La: 0.872 0.376 0.376  -0.19
La: 0.376 0.376 0.872  -0.19
La: 0.376 0.376 0.376  -0.19
As: 0.000 0.000 0.000  0.02

---

no.,energy (eV per atom)
1,-2.0213
2,-3.1900
3,-5.1861